V5O12: optimized geometry, GGA+U.

Geometry as POSCAR:
```
V5O12
1.0
9.099 0.000 0.000
0.000 9.149 0.000
-9.010 0.000 12.737
V O
20 48
Direct
0.026 0.249 0.000
0.026 0.251 0.500
0.120 0.527 0.374
0.120 0.973 0.874
0.252 0.617 0.860
0.252 0.883 0.360
0.369 0.533 0.122
0.369 0.967 0.622
0.465 0.114 0.858
0.465 0.386 0.358
0.535 0.614 0.642
0.535 0.886 0.142
0.631 0.033 0.378
0.631 0.467 0.878
0.748 0.117 0.640
0.748 0.383 0.140
0.880 0.027 0.126
0.880 0.473 0.626
0.974 0.749 0.500
0.974 0.751 0.000
0.003 0.158 0.090
0.003 0.342 0.590
0.071 0.121 0.931
0.071 0.379 0.431
0.071 0.503 0.758
0.071 0.997 0.258
0.172 0.663 0.090
0.172 0.837 0.590
0.191 0.700 0.337
0.191 0.800 0.837
0.203 0.133 0.566
0.203 0.367 0.066
0.274 0.083 0.860
0.274 0.417 0.360
0.297 0.564 0.978
0.297 0.936 0.478
0.345 0.567 0.526
0.345 0.933 0.026
0.436 0.593 0.858
0.436 0.907 0.358
0.441 0.006 0.755
0.441 0.494 0.255
0.472 0.204 0.336
0.472 0.296 0.836
0.528 0.704 0.164
0.528 0.796 0.664
0.559 0.506 0.745
0.559 0.994 0.245
0.564 0.093 0.642
0.564 0.407 0.142
0.655 0.067 0.974
0.655 0.433 0.474
0.703 0.064 0.522
0.703 0.436 0.022
0.726 0.583 0.640
0.726 0.917 0.140
0.797 0.633 0.934
0.797 0.867 0.434
0.809 0.200 0.163
0.809 0.300 0.663
0.828 0.163 0.410
0.828 0.337 0.910
0.929 0.003 0.742
0.929 0.497 0.242
0.929 0.621 0.569
0.929 0.879 0.069
0.997 0.658 0.410
0.997 0.842 0.910
```

Results
The distance to the lowest polymorph of the same formula is 0 meV/atom. The magnetization comes out at 4.0 μB per cell. The symmetry is P2_1/c.